(1)
## CdAs (GGA-PBE)

Data for a geometry-optimized CdAs structure.

energy relative to the elements	0.09	eV/atom
Fermi-level density of states	0.56	states/eV/atom
final energy	-5.377	eV per formula unit
excess energy over the best structure of this formula in the dataset	175.4	meV/atom

Unit cell a=4.7028 b=4.7028 c=16.1570 alpha=90.00 beta=90.00 gamma=120.00
With the nearest neighbours (Å) after each atom.
Space group P-3m1 (No. 164)
Inequivalent atoms, fractional coordinates:
Cd 0.0000 0.0000 0.1850 [2 per cell]  4 As 2.68-2.93
Cd 0.3333 0.6667 0.0558 [2 per cell]  4 As 2.80-2.89
Cd 0.3333 0.6667 0.4470 [2 per cell]  7 As 2.80-3.13
As 0.0000 0.0000 0.3506 [2 per cell]  1 Cd 2.68, 3 As 2.76
As 0.3333 0.6667 0.6205 [2 per cell]  3 As 2.76, 4 Cd 2.80-2.93
As 0.3333 0.6667 0.8825 [2 per cell]  7 Cd 2.80-2.93

(2)
## Cs6HAu3 (GGA-PBE)

Data for a geometry-optimized Cs6HAu3 structure.

Fermi-level density of states	0.76	states/eV/atom
final energy	-20.389	eV per formula unit
excess energy over the best structure of this formula in the dataset	0.0	meV/atom

Unit cell a=14.1494 b=17.1496 c=8.5664 alpha=90.00 beta=90.00 gamma=90.00
With the nearest neighbours (Å) after each atom.
Space group Cmc2_1 (No. 36)
Inequivalent atoms, fractional coordinates:
Cs 0.0000 0.0095 0.0000 [4 per cell]  2 H 3.16-3.47
Cs 0.0000 0.2285 0.5706 [4 per cell]  1 H 3.12
Cs 0.1501 0.2509 0.0884 [8 per cell]  1 H 3.07
Cs 0.1604 0.4786 0.5679 [8 per cell]  4 Au 3.62-3.75
H 0.0000 0.1478 0.2444 [4 per cell]  4 Cs 3.07-3.16
Au 0.0000 0.3871 0.8640 [4 per cell]  7 Cs 3.67-3.75
Au 0.1800 0.1097 0.7683 [8 per cell]  7 Cs 3.62-3.99

(3)
## SnGe3Pb (GGA-PBE)

Data for a geometry-optimized SnGe3Pb structure.

energy relative to the elements	0.73	eV/atom
Fermi-level density of states	0.66	states/eV/atom
final energy	-17.904	eV per formula unit
excess energy over the best structure of this formula in the dataset	0.0	meV/atom

Unit cell a=5.3071 b=5.3071 c=5.3071 alpha=90.00 beta=90.00 gamma=90.00
With the nearest neighbours (Å) after each atom.
Space group Pm-3m (No. 221)
Inequivalent atoms, fractional coordinates:
Sn 0.0000 0.0000 0.0000 [1 per cell]  6 Ge 2.65
Ge 0.0000 0.0000 0.5000 [3 per cell]  2 Sn 2.65
Pb 0.5000 0.5000 0.5000 [1 per cell]  12 Ge 3.75